# Sc4C2F, optimized geometry, DFT PBE-GGA
data_Sc4C2F
_cell_length_a 3.3220
_cell_length_b 3.3220
_cell_length_c 33.5880
_cell_angle_alpha 90.00
_cell_angle_beta 90.00
_cell_angle_gamma 120.00
_symmetry_space_group_name_H-M 'R -3 m'
_symmetry_Int_Tables_number 166
_symmetry_space_group_name_Hall '-R 3 2"'
loop_
_atom_site_label
_atom_site_type_symbol
_atom_site_fract_x
_atom_site_fract_y
_atom_site_fract_z
Sc1 Sc 0.0000 0.0000 0.1207
Sc2 Sc 0.0000 0.0000 0.2847
C1 C 0.0000 0.0000 0.4153
F1 F 0.0000 0.0000 0.0000
# Spin magnetization ... 0.00 μB/f.u.
# Crystal system ... trigonal
# Mass density ... 3.458 Mg/m³
# DOS(E_F) ... 0.66 states/eV/atom
# Total energy ... -7.659 eV per atom